Record 1
Co4Ni9Pd11 (GGA-PBE, relaxed); space group = Cmmm, No. 65; density of states at the Fermi level = 1.37 states/eV/atom; formation energy = 0.1026 eV per atom; total magnetization = 17.2 μB/cell
1.0
2.706 0.000 0.000
0.000 10.445 -4.603
0.000 -0.128 11.414
Pd Ni Co
11 9 4
Cartesian
0.000 9.958 2.386
0.000 7.993 5.277
0.000 2.324 1.534
0.000 6.108 8.219
0.000 4.209 -1.409
0.000 0.000 0.000
0.000 8.472 -1.614
0.000 0.359 4.424
0.000 1.845 8.425
0.000 6.419 1.496
0.000 3.898 5.315
1.353 5.159 3.405
1.353 2.104 -0.729
1.353 8.213 7.540
1.353 3.944 7.598
1.353 0.156 2.221
1.353 8.537 0.641
1.353 6.373 -0.788
1.353 1.780 6.170
1.353 10.161 4.589
1.353 5.971 6.007
1.353 2.447 3.681
1.353 7.870 3.129
1.353 4.346 0.803


Record 2
CoNiPd2 (GGA-PBE, relaxed); space group = P-1, No. 2; energy above the most stable polymorph in this dataset = 2 meV per atom; density of states at the Fermi level = 1.34 states/eV/atom; formation energy = 0.0468 eV per atom; total magnetization = 6.6 μB/cell
1.0
-1.458 -5.773 -4.102
2.453 -3.348 -3.281
0.637 -5.019 1.532
Ni Co Pd
2 2 4
Cartesian
0.073 -8.159 -3.591
1.559 -5.981 -2.260
0.041 -1.783 -1.390
1.591 -12.357 -4.461
1.471 -9.838 -5.165
0.162 -4.302 -0.686
1.715 -8.491 -1.558
-0.082 -5.649 -4.293